First-principles (PBE with a Hubbard U) data for MnBePIrF after structural relaxation, as listed in Alexandria via LeMat-Bulk.

Computed properties:
ρ: 6.93 g/cm3
total DFT energy (no corrections): -6.39 eV per atom

a b c (Å): 3.6522 4.1251 5.4266
angles (deg): 87.92 89.80 63.94
Space group P1 (No. 1)
One atom of each set of equivalent atoms:
Mn  0.0000  0.0000  0.0000 (multiplicity 1)
Be  0.6942  0.6059  0.3580 (multiplicity 1)
P  0.3186  0.3599  0.5632 (multiplicity 1)
Ir  0.0072  0.9788  0.5070 (multiplicity 1)
F  0.6844  0.6285  0.0566 (multiplicity 1)